1.
DFT (PBE with a Hubbard U) results for a geometry-optimized CrHgBiF2 structure.

The structure in POSCAR format:
```
CrHgBiF2
1.0
4.560 0.000 0.000
0.000 4.560 0.000
0.000 0.000 5.929
Cr Hg Bi F
1 1 1 2
Direct
0.000 0.000 0.000
0.500 0.500 0.000
0.000 0.000 0.500
0.000 0.500 0.500
0.500 0.000 0.500
```

As for the crystal system: tetragonal. The space group is P4/mmm. For the total energy, the calculation gives -4.068 eV per atom.

2.
DFT (PBE with a Hubbard U) results for a geometry-optimized Cr2HgBiF structure.

The structure in POSCAR format:
```
Cr2HgBiF
1.0
4.510 0.000 0.000
0.000 4.510 0.000
0.000 0.000 5.350
Cr Hg Bi F
2 1 1 1
Direct
0.000 0.500 0.000
0.500 0.000 0.000
0.000 0.000 0.500
0.500 0.500 0.500
0.000 0.000 0.000
```

As for the crystal system: tetragonal. The space group is P4/mmm. For the total energy, the calculation gives -4.478 eV per atom.

3.
DFT (PBE with a Hubbard U) results for a geometry-optimized K2CrBiF structure.

The structure in POSCAR format:
```
K2CrBiF
1.0
4.592 0.000 0.000
0.000 4.592 0.000
0.000 0.000 6.756
K Cr Bi F
2 1 1 1
Direct
0.000 0.500 0.000
0.500 0.000 0.000
0.000 0.000 0.500
0.500 0.500 0.500
0.500 0.500 0.000
```

As for the crystal system: tetragonal. The space group is P4/mmm. For the total energy, the calculation gives -3.708 eV per atom.

4.
DFT (PBE with a Hubbard U) results for a geometry-optimized K2CrBiF6 structure.

The structure in POSCAR format:
```
K2CrBiF6
1.0
6.620 0.000 0.000
0.000 5.792 0.000
-5.876 0.000 9.200
K Cr Bi F
4 2 2 12
Direct
0.236 0.014 0.237
0.236 0.486 0.737
0.764 0.514 0.263
0.764 0.986 0.763
0.000 0.000 0.500
0.000 0.500 0.000
0.500 0.000 0.000
0.500 0.500 0.500
0.140 0.708 0.916
0.140 0.792 0.416
0.168 0.211 0.980
0.168 0.289 0.480
0.340 0.559 0.253
0.340 0.941 0.753
0.660 0.059 0.247
0.660 0.441 0.747
0.832 0.711 0.520
0.832 0.789 0.020
0.860 0.208 0.584
0.860 0.292 0.084
```

As for the crystal system: monoclinic. The space group is P2_1/c. For the total energy, the calculation gives -4.908 eV per atom.

5.
DFT (PBE with a Hubbard U) results for a geometry-optimized KCrBiF2 structure.

The structure in POSCAR format:
```
KCrBiF2
1.0
4.642 0.000 0.000
0.000 4.642 0.000
0.000 0.000 6.117
K Cr Bi F
1 1 1 2
Direct
0.000 0.000 0.000
0.500 0.500 0.500
0.000 0.000 0.500
0.000 0.500 0.000
0.500 0.000 0.000
```

As for the crystal system: tetragonal. The space group is P4/mmm. For the total energy, the calculation gives -3.824 eV per atom.

6.
DFT (PBE with a Hubbard U) results for a geometry-optimized LiCrBi2F structure.

The structure in POSCAR format:
```
LiCrBi2F
1.0
5.205 0.000 0.000
0.000 5.205 0.000
0.000 0.000 5.322
Li Cr Bi F
1 1 2 1
Direct
0.000 0.000 0.000
0.000 0.000 0.500
0.000 0.500 0.500
0.500 0.000 0.500
0.500 0.500 0.000
```

As for the crystal system: tetragonal. The space group is P4/mmm. For the total energy, the calculation gives -3.706 eV per atom.

7.
DFT (PBE with a Hubbard U) results for a geometry-optimized NaCrBi2F structure.

The structure in POSCAR format:
```
NaCrBi2F
1.0
5.191 0.000 0.000
0.000 5.191 0.000
0.000 0.000 6.157
Na Cr Bi F
1 1 2 1
Direct
0.000 0.000 0.000
0.000 0.000 0.500
0.000 0.500 0.500
0.500 0.000 0.500
0.500 0.500 0.000
```

As for the crystal system: tetragonal. The space group is P4/mmm. For the total energy, the calculation gives -3.657 eV per atom.

8.
DFT (PBE with a Hubbard U) results for a geometry-optimized NbCrBi2F structure.

The structure in POSCAR format:
```
NbCrBi2F
1.0
5.425 0.000 0.000
0.000 5.425 0.000
0.000 0.000 5.114
Nb Cr Bi F
1 1 2 1
Direct
0.000 0.000 0.000
0.000 0.000 0.500
0.000 0.500 0.000
0.500 0.000 0.000
0.500 0.500 0.500
```

As for the crystal system: tetragonal. The space group is P4/mmm. For the total energy, the calculation gives -5.016 eV per atom.

9.
DFT (PBE with a Hubbard U) results for a geometry-optimized CrBiO2F structure.

The structure in POSCAR format:
```
CrBiO2F
1.0
4.365 0.000 0.000
0.000 4.365 0.000
0.000 0.000 4.509
Cr Bi O F
1 1 2 1
Direct
0.000 0.000 0.000
0.500 0.500 0.500
0.000 0.500 0.500
0.500 0.000 0.500
0.500 0.500 0.000
```

As for the crystal system: tetragonal. The space group is P4/mmm. For the total energy, the calculation gives -5.502 eV per atom.

10.
DFT (PBE with a Hubbard U) results for a geometry-optimized CrBiO2F structure.

The structure in POSCAR format:
```
CrBiO2F
1.0
4.022 0.000 0.000
0.000 4.022 0.000
0.000 0.000 3.999
Cr Bi O F
1 1 2 1
Direct
0.000 0.000 0.000
0.500 0.500 0.500
0.000 0.500 0.000
0.500 0.000 0.000
0.000 0.000 0.500
```

As for the crystal system: tetragonal. The space group is P4/mmm. For the total energy, the calculation gives -6.071 eV per atom.

11.
DFT (PBE with a Hubbard U) results for a geometry-optimized CrBiOF2 structure.

The structure in POSCAR format:
```
CrBiOF2
1.0
4.190 0.000 0.000
0.000 4.190 0.000
0.000 0.000 4.043
Cr Bi O F
1 1 1 2
Direct
0.000 0.000 0.000
0.500 0.500 0.500
0.000 0.000 0.500
0.000 0.500 0.000
0.500 0.000 0.000
```

As for the crystal system: tetragonal. The space group is P4/mmm. For the total energy, the calculation gives -5.543 eV per atom.

12.
DFT (PBE with a Hubbard U) results for a geometry-optimized CrBiO2F structure.

The structure in POSCAR format:
```
CrBiO2F
1.0
5.653 0.000 0.000
0.000 4.106 0.000
-1.089 0.000 7.396
Cr Bi O F
2 2 4 2
Direct
0.053 0.250 0.144
0.947 0.750 0.856
0.246 0.250 0.624
0.754 0.750 0.376
0.032 0.250 0.866
0.058 0.750 0.606
0.942 0.250 0.394
0.968 0.750 0.134
0.427 0.250 0.332
0.573 0.750 0.668
```

As for the crystal system: monoclinic. The space group is P2_1/m. For the total energy, the calculation gives -6.346 eV per atom.

13.
DFT (PBE with a Hubbard U) results for a geometry-optimized CrBiOF2 structure.

The structure in POSCAR format:
```
CrBiOF2
1.0
4.604 0.000 0.000
0.000 4.604 0.000
0.000 0.000 4.505
Cr Bi O F
1 1 1 2
Direct
0.000 0.000 0.000
0.500 0.500 0.500
0.500 0.500 0.000
0.000 0.500 0.500
0.500 0.000 0.500
```

As for the crystal system: tetragonal. The space group is P4/mmm. For the total energy, the calculation gives -5.267 eV per atom.

14.
DFT (PBE with a Hubbard U) results for a geometry-optimized RbCr2BiF8 structure.

The structure in POSCAR format:
```
RbCr2BiF8
1.0
4.323 0.000 0.000
0.950 5.693 0.000
0.444 1.177 8.002
Rb Cr Bi F
1 2 1 8
Direct
0.000 0.000 0.000
0.475 0.475 0.237
0.525 0.525 0.763
0.000 0.000 0.500
0.085 0.729 0.747
0.126 0.727 0.317
0.423 0.225 0.445
0.432 0.302 0.961
0.568 0.698 0.039
0.577 0.775 0.555
0.874 0.273 0.683
0.915 0.271 0.253
```

As for the crystal system: triclinic. The space group is P-1. For the total energy, the calculation gives -5.426 eV per atom.

15.
DFT (PBE with a Hubbard U) results for a geometry-optimized Rb2CrBiF6 structure.

The structure in POSCAR format:
```
Rb2CrBiF6
1.0
-3.211 3.211 4.689
3.211 -3.211 4.689
3.211 3.211 -4.689
Rb Cr Bi F
2 1 1 6
Direct
0.250 0.750 0.500
0.750 0.250 0.500
0.000 0.000 0.000
0.500 0.500 0.000
0.228 0.228 0.456
0.228 0.772 0.000
0.254 0.254 0.000
0.746 0.746 0.000
0.772 0.228 0.000
0.772 0.772 0.544
```

As for the crystal system: tetragonal. The space group is I4/mmm. For the total energy, the calculation gives -4.828 eV per atom.

16.
DFT (PBE with a Hubbard U) results for a geometry-optimized Rb2CrBiF6 structure.

The structure in POSCAR format:
```
Rb2CrBiF6
1.0
6.184 0.000 0.000
0.000 9.983 0.000
0.000 0.000 6.545
Rb Cr Bi F
4 2 2 12
Direct
0.250 0.016 0.219
0.250 0.484 0.219
0.750 0.516 0.781
0.750 0.984 0.781
0.250 0.750 0.798
0.750 0.250 0.202
0.250 0.250 0.698
0.750 0.750 0.302
0.005 0.250 0.434
0.008 0.750 0.048
0.250 0.550 0.803
0.250 0.950 0.803
0.492 0.750 0.048
0.495 0.250 0.434
0.505 0.750 0.566
0.508 0.250 0.952
0.750 0.050 0.197
0.750 0.450 0.197
0.992 0.250 0.952
0.995 0.750 0.566
```

As for the crystal system: orthorhombic. The space group is Pmmn. For the total energy, the calculation gives -4.867 eV per atom.

17.
DFT (PBE with a Hubbard U) results for a geometry-optimized CrBi2RuF structure.

The structure in POSCAR format:
```
CrBi2RuF
1.0
5.365 0.000 0.000
0.000 5.365 0.000
0.000 0.000 3.985
Cr Bi Ru F
1 2 1 1
Direct
0.000 0.000 0.000
0.000 0.500 0.500
0.500 0.000 0.500
0.500 0.500 0.500
0.500 0.500 0.000
```

As for the crystal system: tetragonal. The space group is P4/mmm. For the total energy, the calculation gives -4.712 eV per atom.

18.
DFT (PBE with a Hubbard U) results for a geometry-optimized CrBiSF2 structure.

The structure in POSCAR format:
```
CrBiSF2
1.0
4.216 0.000 0.000
0.000 4.216 0.000
0.000 0.000 5.613
Cr Bi S F
1 1 1 2
Direct
0.000 0.000 0.000
0.500 0.500 0.000
0.500 0.500 0.500
0.000 0.500 0.500
0.500 0.000 0.500
```

As for the crystal system: tetragonal. The space group is P4/mmm. For the total energy, the calculation gives -4.157 eV per atom.

19.
DFT (PBE with a Hubbard U) results for a geometry-optimized CrBiTe2F structure.

The structure in POSCAR format:
```
CrBiTe2F
1.0
5.441 0.000 0.000
0.000 5.441 0.000
0.000 0.000 4.482
Cr Bi Te F
1 1 2 1
Direct
0.000 0.000 0.000
0.500 0.500 0.000
0.000 0.500 0.500
0.500 0.000 0.500
0.500 0.500 0.500
```

As for the crystal system: tetragonal. The space group is P4/mmm. For the total energy, the calculation gives -3.440 eV per atom.

20.
DFT (PBE with a Hubbard U) results for a geometry-optimized TlCrBiF6 structure.

The structure in POSCAR format:
```
TlCrBiF6
1.0
6.086 0.000 0.000
-3.043 5.271 0.000
0.000 0.000 11.143
Tl Cr Bi F
2 2 2 12
Direct
0.000 0.000 0.000
0.000 0.000 0.500
0.333 0.667 0.250
0.667 0.333 0.750
0.333 0.667 0.750
0.667 0.333 0.250
0.027 0.390 0.151
0.027 0.637 0.349
0.363 0.390 0.349
0.363 0.973 0.151
0.390 0.027 0.651
0.390 0.363 0.849
0.610 0.637 0.151
0.610 0.973 0.349
0.637 0.027 0.849
0.637 0.610 0.651
0.973 0.363 0.651
0.973 0.610 0.849
```

As for the crystal system: trigonal. The space group is P-31c. For the total energy, the calculation gives -5.034 eV per atom.